No. 1
A relaxed structure of NaHgSb2. Source: Alexandria via LeMat-Bulk, functional PBE.

formation energy (no corrections): -0.11 eV per atom
spin magnetization: 0.000 μB/cell
total energy: -2.58 eV per atom

```
NaHgSb2
1.0
-7.062 2.021 -4.071
-1.773 -4.694 0.745
-9.400 4.645 6.899
Na Hg Sb
4 4 8
direct
0.817 0.356 0.760
0.183 0.856 0.740
0.817 0.144 0.260
0.183 0.644 0.240
0.372 0.138 0.290
0.372 0.362 0.790
0.628 0.862 0.710
0.628 0.638 0.210
0.886 0.296 0.488
0.886 0.204 0.988
0.645 0.819 0.968
0.114 0.796 0.012
0.355 0.181 0.032
0.355 0.319 0.532
0.114 0.704 0.512
0.645 0.681 0.468
```


No. 2
A relaxed structure of CdGaTeBr2. Source: Alexandria via LeMat-Bulk, functional PBE.

formation energy (no corrections): -0.21 eV per atom
spin magnetization: 0.000 μB/cell
total energy: -2.29 eV per atom

```
CdGaTeBr2
1.0
5.095 0.000 0.000
0.000 5.749 0.000
0.000 0.000 5.095
Te Ga Br Cd
1 1 2 1
direct
0.000 0.500 0.000
0.000 0.000 0.000
0.000 0.000 0.500
0.500 0.000 0.000
0.500 0.500 0.500
```


Question: spin magnetization of number 2 (CdGaTeBr2)?
Answer: 0.000 μB/cell


Question: What is the spin magnetization in the second record?
Answer: 0.000 μB/cell


Question: total energy of number 2 (CdGaTeBr2)?
Answer: -2.29 eV per atom